Record 1
# LiMoP2O8 | the Alexandria database | GGA+U | optimized geometry
data_LiMoP2O8
_chemical_formula_sum 'Li2 Mo2 P4 O16'
_space_group_name_H-M_alt 'I -4 m 2'
_space_group_IT_number 119
_space_group_name_Hall 'I -4 -2'
_cell_length_a 6.5310
_cell_length_b 6.5310
_cell_length_c 5.7100
_cell_angle_alpha 90.00
_cell_angle_beta 90.00
_cell_angle_gamma 90.00
loop_
_atom_site_label
_atom_site_type_symbol
_atom_site_fract_x
_atom_site_fract_y
_atom_site_fract_z
_atom_site_occupancy
Li1 Li 0.0000 0.0000 0.0000 1
Mo1 Mo 0.0000 0.5000 0.7500 1
P1 P 0.0000 0.0000 0.5000 1
P2 P 0.0000 0.5000 0.2500 1
O1 O 0.0000 0.1871 0.6658 1
O2 O 0.0000 0.3223 0.0690 1
# Density of states at the Fermi level (states/eV per atom): 0.00
# E_tot (eV per atom): -6.920

Record 2
# LiMoPO5 | the Alexandria database | GGA+U | optimized geometry
data_LiMoPO5
_chemical_formula_sum 'Li4 Mo4 P4 O20'
_space_group_name_H-M_alt 'P n m a'
_space_group_IT_number 62
_space_group_name_Hall '-P 2ac 2n'
_cell_length_a 7.4894
_cell_length_b 6.6537
_cell_length_c 7.5277
_cell_angle_alpha 90.00
_cell_angle_beta 90.00
_cell_angle_gamma 90.00
loop_
_atom_site_label
_atom_site_type_symbol
_atom_site_fract_x
_atom_site_fract_y
_atom_site_fract_z
_atom_site_occupancy
Li1 Li 0.0000 0.0000 0.0000 1
Mo1 Mo 0.1416 0.2500 0.2703 1
P1 P 0.1297 0.7500 0.3655 1
O1 O 0.0430 0.2500 0.5237 1
O2 O 0.1035 0.7500 0.8259 1
O3 O 0.1327 0.5644 0.2409 1
O4 O 0.2002 0.2500 0.9856 1
# E_tot (eV per atom): -6.971

Record 3
# LiMoP2O8 | the Alexandria database | GGA+U | optimized geometry
data_LiMoP2O8
_chemical_formula_sum 'Li1 Mo1 P2 O8'
_space_group_name_H-M_alt 'P 1'
_space_group_IT_number 1
_space_group_name_Hall 'P 1'
_cell_length_a 4.9187
_cell_length_b 5.0953
_cell_length_c 8.2661
_cell_angle_alpha 96.00
_cell_angle_beta 90.88
_cell_angle_gamma 118.57
loop_
_atom_site_label
_atom_site_type_symbol
_atom_site_fract_x
_atom_site_fract_y
_atom_site_fract_z
_atom_site_occupancy
Li1 Li 0.0000 0.0000 0.0000 1
Mo1 Mo 0.3794 0.2863 0.4258 1
P1 P 0.0461 0.5909 0.2137 1
P2 P 0.7121 0.9893 0.6339 1
O1 O 0.1545 0.3481 0.2215 1
O2 O 0.3082 0.8963 0.3005 1
O3 O 0.4584 0.6721 0.5567 1
O4 O 0.5853 0.2137 0.6133 1
O5 O 0.7624 0.4920 0.3274 1
O6 O 0.8250 0.0098 0.8042 1
O7 O 0.9485 0.6152 0.0467 1
O8 O 0.9880 0.0821 0.5150 1
# E_tot (eV per atom): -6.988

| no. | total moment (μB/cell) |
| --- | --- |
| 1 | 2.0 |
| 2 | 8.0 |
| 3 | 1.0 |